Record 1
Compound: CaPu2Au4
Source: Alexandria via LeMat-Bulk
Functional: GGA-PBE
Structure: relaxed

Cell: 6.224 6.224 6.224 Å, 122.53 103.36 103.36°
Last column: magnetic moment on the atom in μB.
Atoms (fractional coordinates):
Au1 0.000 0.000 0.500  0.05
Au2 0.500 0.000 0.000  0.05
Au3 0.000 0.500 0.000  0.05
Au4 0.500 0.500 0.500  0.05
Pu1 0.500 0.500 0.000  5.67
Pu2 0.500 0.000 0.500  5.67
Ca1 0.000 0.000 0.000  0.02

Computed properties:
N(E_F): 17.8 states/eV/f.u.
Total magnetic moment: 12.3 Bohr magnetons per cell

=====

Record 2
Compound: Ca5PuAu6
Source: Alexandria via LeMat-Bulk
Functional: GGA-PBE
Structure: relaxed

Cell: 5.175 8.931 8.931 Å, 120.27 106.89 106.89°
Last column: magnetic moment on the atom in μB.
Atoms (fractional coordinates):
Au1 0.245 0.081 0.409  -0.01
Au2 0.755 0.919 0.591  -0.01
Au3 0.245 0.409 0.081  -0.01
Au4 0.738 0.238 0.238  -0.02
Au5 0.262 0.762 0.762  -0.02
Au6 0.755 0.591 0.919  -0.01
Pu1 0.000 0.000 0.000  -5.38
Ca1 0.500 0.830 0.170  -0.01
Ca2 0.500 0.500 0.500  -0.02
Ca3 0.000 0.335 0.665  0.00
Ca4 0.500 0.170 0.830  -0.01
Ca5 0.000 0.665 0.335  0.00

Computed properties:
N(E_F): 16.7 states/eV/f.u.
Total magnetic moment: 6.0 Bohr magnetons per cell

=====

Calculated energy relative to the elements in order - -0.417, -0.720 eV/atom